This record from Alexandria via LeMat-Bulk describes a relaxed structure of Be5AlTc. The functional is PBE.

POSCAR file:
```
Be5AlTc
1.0
7.027 0.000 0.000
0.000 4.356 0.000
0.000 0.000 8.734
Be Al Tc
20 4 4
direct
0.055 0.250 0.111
0.067 0.002 0.320
0.067 0.498 0.320
0.095 0.750 0.520
0.193 0.750 0.744
0.307 0.250 0.244
0.405 0.250 0.020
0.433 0.502 0.820
0.433 0.998 0.820
0.445 0.750 0.611
0.555 0.250 0.389
0.567 0.002 0.180
0.567 0.498 0.180
0.595 0.750 0.980
0.693 0.750 0.756
0.807 0.250 0.256
0.905 0.250 0.480
0.933 0.502 0.680
0.933 0.998 0.680
0.945 0.750 0.889
0.127 0.250 0.864
0.373 0.750 0.364
0.627 0.250 0.636
0.873 0.750 0.136
0.244 0.250 0.569
0.256 0.750 0.069
0.744 0.250 0.931
0.756 0.750 0.431
```

Results
energy of formation	-0.1901	eV/atom
symmetry	Pnma

This record from Alexandria via LeMat-Bulk describes a relaxed structure of CsTlS2. The functional is PBE.

POSCAR file:
```
CsTlS2
1.0
2.760 1.594 7.973
-2.760 1.594 7.973
0.000 -3.187 7.973
Cs Tl S
1 1 2
direct
0.000 0.000 0.000
0.500 0.500 0.500
0.404 0.404 0.404
0.596 0.596 0.596
```

Results
ΔE_f (raw)	-1.818	eV/f.u.
symmetry	R-3m
offset from the most stable computed form	0.129	eV/atom

This record from Alexandria via LeMat-Bulk describes a relaxed structure of Hg2Ru. The functional is PBE.

POSCAR file:
```
Hg2Ru
1.0
-1.517 1.517 6.322
1.517 -1.517 6.322
1.517 1.517 -6.322
Hg Ru
2 1
direct
0.152 0.152 0.000
0.848 0.848 0.000
0.500 0.500 0.000
```

Results
energy of formation	0.5572	eV/atom
symmetry	I4/mmm